Entry 1:
Computed, not measured: a geometry-optimized YTa2Au structure at the PBE-GGA level of DFT.

Lattice parameters (Å, degrees): 5.2618 5.2618 5.5871 80.39 80.39 33.21
With the nearest neighbours (Å) after each atom.
Fractional coordinates of all 4 atoms:
Ta (0.9892, 0.9892, 0.9498)  5 Ta 2.81-3.01, 2 Au 3.02, 2 Y 3.12
Ta (0.7306, 0.7306, 0.8257)  5 Ta 2.81-3.01, 2 Au 2.97
Au (0.2659, 0.2659, 0.2689)  3 Y 2.88-2.98, 4 Ta 2.97-3.02, 2 Au 3.01
Y (0.5143, 0.5143, 0.4556)  3 Au 2.88-2.98, 2 Y 3.01, 2 Ta 3.12

Summary:
Polymorph energy (0 for the lowest one): 19.58 kJ/mol of atoms
M_tot: 0.000 μB per atom
Total energy: -8.203 eV/atom
ΔH_f (0 K): 0.159 eV/atom

Entry 2:
Computed, not measured: a geometry-optimized Tm3Cd2Pb3 structure at the PBE-GGA level of DFT.

Lattice parameters (Å, degrees): 4.5282 4.4992 10.9265 101.88 101.96 90.00
With the nearest neighbours (Å) after each atom.
Fractional coordinates of all 8 atoms:
Cd (0.7462, 0.2462, 0.4923)  4 Cd 3.20, 4 Tm 3.26-3.37, 4 Pb 3.36-3.49
Cd (0.2538, 0.7538, 0.5077)  4 Cd 3.20, 4 Tm 3.26-3.37, 4 Pb 3.36-3.49
Tm (0.8660, 0.8660, 0.7319)  4 Pb 3.20, 4 Cd 3.26-3.37
Tm (0.0000, 0.5000, 0.0000)  8 Pb 3.19-3.48
Tm (0.1340, 0.1340, 0.2681)  4 Pb 3.20, 4 Cd 3.26-3.37
Pb (0.5000, 0.0000, 0.0000)  4 Tm 3.19, 4 Pb 3.48
Pb (0.3732, 0.3732, 0.7465)  6 Tm 3.20-3.48, 4 Cd 3.36-3.49, 2 Pb 3.48
Pb (0.6268, 0.6268, 0.2535)  6 Tm 3.20-3.48, 4 Cd 3.36-3.49, 2 Pb 3.48

Summary:
M_tot: 0.000 μB per atom
Total energy: -3.592 eV/atom
ΔH_f (0 K): -0.296 eV/atom

Entry 3:
Computed, not measured: a geometry-optimized Ac8LaNd6 structure at the PBE-GGA level of DFT.

Lattice parameters (Å, degrees): 9.2832 9.2832 9.2832 66.65 66.65 66.65
With the nearest neighbours (Å) after each atom.
Fractional coordinates of all 15 atoms:
Ac (0.2656, 0.2656, 0.2656)  6 Nd 3.59-3.87, 3 Ac 3.90
Ac (0.5873, 0.8623, 0.1781)  3 Nd 3.54-3.73, 4 Ac 3.79-3.96
Ac (0.4127, 0.1377, 0.8219)  3 Nd 3.54-3.73, 4 Ac 3.79-3.96
Ac (0.1781, 0.5873, 0.8623)  3 Nd 3.54-3.73, 4 Ac 3.79-3.96
Ac (0.8623, 0.1781, 0.5873)  3 Nd 3.54-3.73, 4 Ac 3.79-3.96
Ac (0.8219, 0.4127, 0.1377)  3 Nd 3.54-3.73, 4 Ac 3.79-3.96
Ac (0.1377, 0.8219, 0.4127)  3 Nd 3.54-3.73, 4 Ac 3.79-3.96
Ac (0.7344, 0.7344, 0.7344)  6 Nd 3.59-3.87, 3 Ac 3.90
Nd (0.3720, 0.6774, 0.0635)  5 Ac 3.54-3.87, 3 Nd 3.54-3.90, 1 La 3.64
Nd (0.9365, 0.6280, 0.3226)  5 Ac 3.54-3.87, 3 Nd 3.54-3.90, 1 La 3.64
Nd (0.6774, 0.0635, 0.3720)  5 Ac 3.54-3.87, 3 Nd 3.54-3.90, 1 La 3.64
Nd (0.3226, 0.9365, 0.6280)  5 Ac 3.54-3.87, 3 Nd 3.54-3.90, 1 La 3.64
Nd (0.6280, 0.3226, 0.9365)  5 Ac 3.54-3.87, 3 Nd 3.54-3.90, 1 La 3.64
Nd (0.0635, 0.3720, 0.6774)  5 Ac 3.54-3.87, 3 Nd 3.54-3.90, 1 La 3.64
La (0.0000, 0.0000, 0.0000)  6 Nd 3.64, 6 Ac 4.03

Summary:
M_tot: 0.000 μB per atom
Total energy: -4.208 eV/atom
ΔH_f (0 K): 0.219 eV/atom

Entry 4:
Computed, not measured: a geometry-optimized LiSnO2F structure at the PBE-GGA level of DFT.

Lattice parameters (Å, degrees): 3.9967 3.9967 4.2408 90.00 90.00 90.00
With the nearest neighbours (Å) after each atom.
Fractional coordinates of all 5 atoms:
O (0.5000, 0.0000, 0.0000)  2 Sn 2.00
O (0.0000, 0.5000, 0.0000)  2 Sn 2.00
Sn (0.0000, 0.0000, 0.0000)  4 O 2.00, 2 F 2.12
Li (0.5000, 0.5000, 0.5000)  4 F 2.83, 8 O 2.91
F (0.0000, 0.0000, 0.5000)  2 Sn 2.12

Summary:
M_tot: 0.000 μB per atom
Total energy: -5.249 eV/atom
Uncorrected formation energy: -1.708 eV per atom

What is the total energy in the third record?
-4.208 eV/atom